Entry 1:
5
Lattice="-1.265 3.124 4.274 0.124 -4.376 3.235 5.157 0.827 0.921" Properties=species:S:1:pos:R:3 comment="GGA-PBE RbLaMg2Rh, optimized geometry" ef_kj_per_mol_fu=-92 pbc="T T T"
Mg 0.062 -2.188 1.618
Mg -0.632 1.562 2.137
Rh 0.000 0.000 0.000
Rb 2.008 -0.212 4.215
La 2.578 0.413 0.461



Entry 2:
14
Lattice="-5.097 -1.509 -2.718 1.927 -2.437 -5.098 -0.770 -11.475 2.202" Properties=species:S:1:pos:R:3 comment="GGA-PBE Ho5TlOs, optimized geometry" ef_kj_per_mol_fu=-60 pbc="T T T"
Ho -3.648 -4.237 -5.190
Ho -0.435 -8.084 -2.124
Ho -1.684 -10.284 -4.885
Ho -5.276 -4.379 -2.173
Ho -1.501 -13.389 -3.199
Ho -2.439 -2.032 -2.415
Ho 1.336 -11.041 -3.442
Ho -2.256 -5.136 -0.730
Ho -3.504 -7.336 -3.491
Ho -0.292 -11.184 -0.425
Tl -1.122 -4.928 -3.580
Tl -2.818 -10.492 -2.035
Os 0.000 0.000 0.000
Os -0.385 -5.737 1.101



Entry 3:
4
Lattice="5.114 0.000 0.000 2.557 4.429 0.000 2.557 1.476 4.176" Properties=species:S:1:pos:R:3 comment="GGA-PBE LiInGaPb, optimized geometry" ef_kj_per_mol_fu=-19 pbc="T T T"
Pb 0.000 0.000 0.000
Li 7.672 4.429 3.132
Ga 2.557 1.476 1.044
In 5.114 2.953 2.088



Entry 4:
4
Lattice="-1.859 -3.137 3.556 4.963 -1.012 -0.541 2.435 0.700 4.418" Properties=species:S:1:pos:R:3 comment="GGA-PBE TlTe2Ir, optimized geometry" relative_energy_ev_per_fu=2.645 pbc="T T T"
Ir 3.699 -0.156 1.938
Te 0.000 0.000 0.000
Te 1.552 -2.075 1.507
Tl 0.288 -1.219 3.987



Entry 5:
4
Lattice="-1.039 1.932 -1.728 -2.028 -1.150 1.537 1.431 7.417 7.436" Properties=species:S:1:pos:R:3 comment="GGA-PBE KMo2W, optimized geometry" relative_energy_ev_per_fu=0.084 ef_kj_per_mol_fu=297 pbc="T T T"
K -0.461 5.951 5.479
Mo 0.067 0.347 0.348
Mo -1.176 2.241 1.760
W 0.650 3.367 3.376



For reference, VASP energy by record: -0.2557, -0.3896, -0.2129, -0.2897, -0.5997 Ry/atom.